# 1
{"formula": "CuSn2S", "functional": "PBE", "state": "relaxed", "total_magnetization_mub_per_fu": 0.00, "dos_at_fermi_per_ev_atom": 0.556, "formation_energy_uncorrected_ev_per_atom": 0.045, "cell": [[-3.065, 3.065, 5.888], [3.065, -3.065, 5.888], [3.065, 3.065, -5.888]], "species": ["Cu", "Cu", "Sn", "Sn", "Sn", "Sn", "S", "S"], "frac_coords": [[0.000, 0.000, 0.000], [0.750, 0.250, 0.500], [0.103, 0.625, 0.978], [0.375, 0.353, 0.478], [0.647, 0.125, 0.022], [0.875, 0.897, 0.522], [0.250, 0.750, 0.500], [0.500, 0.500, 0.000]]}

# 2
{"formula": "CuSnS", "functional": "PBE", "state": "relaxed", "total_magnetization_mub_per_fu": 0.00, "dos_at_fermi_per_ev_atom": 0.204, "formation_energy_uncorrected_ev_per_atom": -0.160, "cell": [[3.741, 0.000, 0.000], [-1.871, 3.240, 0.000], [0.000, 0.000, 4.752]], "species": ["Cu", "Sn", "S"], "frac_coords": [[0.000, 0.000, 0.000], [0.333, 0.667, 0.360], [0.667, 0.333, 0.798]]}

# 3
{"formula": "Cu2SnS3", "functional": "PBE", "state": "relaxed", "total_magnetization_mub_per_fu": 0.00, "dos_at_fermi_per_ev_atom": 0.000, "formation_energy_uncorrected_ev_per_atom": -0.333, "cell": [[6.121, -2.715, 0.000], [6.121, 2.715, 0.000], [-1.251, 0.000, 3.709]], "species": ["Cu", "Cu", "Sn", "S", "S", "S"], "frac_coords": [[0.171, 0.171, 0.169], [0.829, 0.829, 0.831], [0.470, 0.530, 0.500], [0.048, 0.598, 0.325], [0.402, 0.952, 0.675], [0.769, 0.231, 0.000]]}

# 4
{"formula": "Cu2Sn2S7", "functional": "PBE", "state": "relaxed", "total_magnetization_mub_per_fu": 0.00, "dos_at_fermi_per_ev_atom": 0.799, "formation_energy_uncorrected_ev_per_atom": -0.080, "cell": [[3.339, -5.937, 0.000], [3.339, 5.937, 0.000], [-1.763, 0.000, 6.101]], "species": ["Cu", "Cu", "Sn", "Sn", "S", "S", "S", "S", "S", "S", "S"], "frac_coords": [[0.213, 0.213, 0.167], [0.787, 0.787, 0.833], [0.186, 0.814, 0.500], [0.814, 0.186, 0.500], [0.044, 0.413, 0.250], [0.149, 0.149, 0.759], [0.413, 0.044, 0.250], [0.500, 0.500, 0.000], [0.587, 0.956, 0.750], [0.851, 0.851, 0.241], [0.956, 0.587, 0.750]]}